# Ca2BeNi

Ca2BeNi after structural relaxation (PBE-GGA, Alexandria via LeMat-Bulk).

Cell lengths 4.276, 4.276, 8.863 Å; angles 90.00, 90.00, 90.00 degrees
Space group I-4m2 (No. 119)
Symmetry-distinct sites (fractional):
Ca  0.000  0.000  0.000
Ca  0.000  0.500  0.250
Be  0.000  0.000  0.500
Ni  0.000  0.500  0.750

Values from the calculation:
Volume ... 162.08 Å³ per cell
Formation energy ... 0.37 eV per atom